Material: Cs3LiMg2Br9
Method: DFT, PBE-GGA
State: relaxed

Values from the calculation:
**Uncorrected formation energy**: -1479 meV/atom
**Density of states at the Fermi level**: 16.4 states/eV/cell
**Electronic total energy**: -44.91 eV/cell

The structure in CIF format:
```
data_Cs3LiMg2Br9
_space_group_name_H-M_alt 'P -3 m 1'
_space_group_IT_number 164
_space_group_name_Hall '-P 3 2"'
_cell_length_a 7.7266
_cell_length_b 7.7266
_cell_length_c 9.4927
_cell_angle_alpha 90.00
_cell_angle_beta 90.00
_cell_angle_gamma 120.00
loop_
_atom_site_label
_atom_site_type_symbol
_atom_site_fract_x
_atom_site_fract_y
_atom_site_fract_z
Cs1 Cs 0.0000 0.0000 0.0000
Cs2 Cs 0.3333 0.6667 0.6629
Li1 Li 0.0000 0.0000 0.5000
Mg1 Mg 0.3333 0.6667 0.1734
Br1 Br 0.0000 0.5000 0.0000
Br2 Br 0.1689 0.3377 0.3283
```